A geometry-optimized VSi3Ni structure, computed with PBE.

Computed properties:
**Space-group type**: Pm-3m (221)
**DOS(E_F)**: 6.4 states/eV per cell
**Calculated total energy**: -5.426 eV per atom
**Formation energy from raw total energies**: 808 meV/atom
**Magnetization**: 1.2 μB/f.u.

a b c (Å): 4.501 4.501 4.501
angles (deg): 90.00 90.00 90.00
Element x y z (fractional)
V 0.000 0.000 0.000
Si 0.000 0.000 0.500
Si 0.000 0.500 0.000
Si 0.500 0.000 0.000
Ni 0.500 0.500 0.500